5
Lattice="4.4701 0.0000 0.0000 0.0000 4.4701 0.0000 0.0000 0.0000 4.3352" Properties=species:S:1:pos:R:3 comment="LiTiS2Cl PBE optimized geometry" dos_at_fermi_per_ev_atom=0.98 pbc="T T T"
S 0.0000 2.2350 0.0000
S 2.2350 0.0000 0.0000
Cl 0.0000 0.0000 2.1676
Li 0.0000 0.0000 0.0000
Ti 2.2350 2.2350 2.1676

5
Lattice="4.3976 0.0000 0.0000 0.0000 4.3976 0.0000 0.0000 0.0000 4.8834" Properties=species:S:1:pos:R:3 comment="LiVSCl2 PBE optimized geometry" dos_at_fermi_per_ev_atom=1.08 pbc="T T T"
S 0.0000 0.0000 2.4417
Cl 0.0000 2.1988 0.0000
Cl 2.1988 0.0000 0.0000
Li 0.0000 0.0000 0.0000
V 2.1988 2.1988 2.4417

5
Lattice="4.9443 0.0000 0.0000 0.0000 4.9443 0.0000 0.0000 0.0000 4.5461" Properties=species:S:1:pos:R:3 comment="LiVSCl2 PBE optimized geometry" dos_at_fermi_per_ev_atom=0.27 pbc="T T T"
S 0.0000 0.0000 2.2731
Cl 0.0000 2.4722 0.0000
Cl 2.4722 0.0000 0.0000
Li 2.4722 2.4722 2.2731
V 0.0000 0.0000 0.0000

5
Lattice="4.2919 0.0000 0.0000 0.0000 4.2919 0.0000 0.0000 0.0000 4.9278" Properties=species:S:1:pos:R:3 comment="LiWSCl2 PBE optimized geometry" dos_at_fermi_per_ev_atom=0.96 pbc="T T T"
S 0.0000 0.0000 2.4639
Li 0.0000 0.0000 0.0000
W 2.1459 2.1459 2.4639
Cl 0.0000 2.1459 0.0000
Cl 2.1459 0.0000 0.0000

5
Lattice="-2.9013 3.4868 2.0754 -0.1871 -2.6636 4.2134 3.7500 2.1952 1.5542" Properties=species:S:1:pos:R:3 comment="LiWSCl2 PBE optimized geometry" dos_at_fermi_per_ev_atom=0.58 pbc="T T T"
S 1.8750 1.0976 0.7771
Li 0.3308 1.5092 3.9215
W 0.0000 0.0000 0.0000
Cl -0.0935 -1.3318 2.1067
Cl -1.4506 1.7434 1.0377

5
Lattice="-4.7298 2.3832 0.3644 -1.5634 -3.6427 3.5313 1.8164 3.0076 3.9066" Properties=species:S:1:pos:R:3 comment="LiYSCl2 PBE optimized geometry" dos_at_fermi_per_ev_atom=0.00 pbc="T T T"
Y 0.0000 0.0000 0.0000
S 0.9082 1.5038 1.9533
Li -2.2384 0.8740 3.9011
Cl -0.7817 -1.8214 1.7657
Cl -2.3649 1.1916 0.1822

# LiYSCl2

LiYSCl2 after structural relaxation (PBE, Alexandria via LeMat-Bulk).

```
5
Lattice="4.3871 0.0000 0.0000 0.0000 4.3871 0.0000 0.0000 0.0000 5.0807" Properties=species:S:1:pos:R:3 pbc="T T T"
Y 2.1935 2.1935 2.5403
S 0.0000 0.0000 2.5403
Li 0.0000 0.0000 0.0000
Cl 0.0000 2.1935 0.0000
Cl 2.1935 0.0000 0.0000
```

5
Lattice="-4.6417 -1.9577 0.2414 0.7072 -1.0754 4.8764 -1.6950 4.1623 1.1637" Properties=species:S:1:pos:R:3 comment="LiZnSCl2 PBE optimized geometry" dos_at_fermi_per_ev_atom=0.71 pbc="T T T"
Zn 0.0000 0.0000 0.0000
Li -2.8147 0.5646 3.1408
S -0.8475 2.0811 0.5819
Cl 0.3536 -0.5377 2.4382
Cl -2.3208 -0.9788 0.1207

How do the records compare in energy relative to the elements, uncorrected? In the order shown, they have -0.10, -0.16, -0.94, 0.49, -0.37, -1.63, -1.43, -0.60 eV/atom.